Material: BaCd11
Method: DFT, GGA-PBE
State: optimized geometry

a = 12.0529 Å, b = 12.0529 Å, c = 7.7848 Å
α = 90.00°, β = 90.00°, γ = 90.00°
Space group I4_1/amd (No. 141, origin choice 2)
Asymmetric unit:
Ba  0.0000  0.2500  0.3750
Cd  0.0000  0.0000  0.0000
Cd  0.0000  0.2500  0.8750
Cd  0.1212  0.0457  0.6756

Calculated values
- ρ (g/cm3) = 8.069
- uncorrected energy (eV/atom) = -1.16

=====

Material: Cu6Ag6Sb4Te12S
Method: DFT, GGA-PBE
State: optimized geometry

a = 11.9089 Å, b = 11.9089 Å, c = 11.9089 Å
α = 90.00°, β = 90.00°, γ = 90.00°
Space group I-43m (No. 217)
Asymmetric unit:
Cu  0.0000  0.0000  0.1912
Ag  0.0000  0.2500  0.5000
Sb  0.2357  0.2357  0.2357
Te  0.1073  0.1073  0.6537
S  0.0000  0.0000  0.0000

Calculated values
- ρ (g/cm3) = 6.054
- ΔE to the lowest computed polymorph (meV per atom) = 32.7

=====

Material: Nd2GdCu2B2N3
Method: DFT, GGA-PBE
State: optimized geometry

a = 3.6040 Å, b = 3.6040 Å, c = 20.6092 Å
α = 90.00°, β = 90.00°, γ = 90.00°
Space group I4/mmm (No. 139)
Asymmetric unit:
Nd  0.0000  0.0000  0.1226
Gd  0.0000  0.0000  0.5000
Cu  0.0000  0.5000  0.2500
B  0.0000  0.0000  0.3147
N  0.0000  0.0000  0.0000
N  0.0000  0.0000  0.3843

Calculated values
- ρ (g/cm3) = 7.896
- magnetization (μB per atom) = 0.001
- uncorrected energy (eV/atom) = -6.95

=====

Material: NbAl3Tc2
Method: DFT, GGA-PBE
State: optimized geometry

a = 3.2715 Å, b = 3.2715 Å, c = 8.5379 Å
α = 90.00°, β = 90.00°, γ = 90.00°
Space group P4mm (No. 99)
Asymmetric unit:
Nb  0.0000  0.0000  0.0000
Al  0.0000  0.0000  0.3329
Al  0.5000  0.5000  0.5028
Al  0.5000  0.5000  0.8104
Tc  0.0000  0.0000  0.6644
Tc  0.5000  0.5000  0.1632

Calculated values
- ρ (g/cm3) = 6.721
- magnetization (μB per atom) = 0.048
- uncorrected energy (eV/atom) = -7.41

=====

Material: KScPdSe3
Method: DFT, GGA-PBE
State: optimized geometry

a = 4.1123 Å, b = 15.3270 Å, c = 10.0067 Å
α = 90.00°, β = 90.00°, γ = 90.00°
Space group Cmcm (No. 63)
Asymmetric unit:
K  0.0000  0.2445  0.2500
Sc  0.0000  0.4847  0.7500
Pd  0.0000  0.0000  0.0000
Se  0.0000  0.0832  0.7500
Se  0.0000  0.3878  0.5434

Calculated values
- ρ (g/cm3) = 4.501
- ΔE to the lowest computed polymorph (meV per atom) = 37.9
- magnetization (μB per atom) = 0.003

=====

Material: TbSc2Mo2
Method: DFT, GGA-PBE
State: optimized geometry

a = 4.2467 Å, b = 4.2467 Å, c = 12.4592 Å
α = 90.00°, β = 90.00°, γ = 90.00°
Space group I4/mmm (No. 139)
Asymmetric unit:
Tb  0.0000  0.0000  0.0000
Sc  0.0000  0.5000  0.2500
Mo  0.0000  0.0000  0.4091

Calculated values
- ρ (g/cm3) = 6.514
- ΔE to the lowest computed polymorph (meV per atom) = 0.0
- magnetization (μB per atom) = 0.011
- energy of formation from the pure elements (kJ/mol of formula units) = 194

=====

Material: Rb2AgPbCl6
Method: DFT, GGA-PBE
State: optimized geometry

a = 7.4382 Å, b = 7.4382 Å, c = 38.6152 Å
α = 90.00°, β = 90.00°, γ = 120.00°
Space group R-3m (No. 166, hexagonal axes)
Asymmetric unit:
Rb  0.0000  0.0000  0.1250
Rb  0.0000  0.0000  0.2869
Ag  0.0000  0.0000  0.4140
Pb  0.0000  0.0000  0.0000
Pb  0.0000  0.0000  0.5000
Cl  0.0039  0.5020  0.2929
Cl  0.0116  0.5058  0.8794

Calculated values
- ρ (g/cm3) = 3.762
- ΔE to the lowest computed polymorph (meV per atom) = 36.3

=====

Material: TbAlGa2
Method: DFT, GGA-PBE
State: optimized geometry

a = 4.5317 Å, b = 6.3056 Å, c = 10.9515 Å
α = 90.00°, β = 90.00°, γ = 90.00°
Space group Amm2 (No. 38)
Asymmetric unit:
Tb  0.0000  0.0000  0.0000
Tb  0.5000  0.0000  0.3352
Al  0.0000  0.2172  0.7381
Ga  0.0000  0.0000  0.5190
Ga  0.5000  0.0000  0.8145
Ga  0.5000  0.2222  0.5954

Calculated values
- ρ (g/cm3) = 6.906
- magnetization (μB per atom) = 0.000
- uncorrected energy (eV/atom) = -4.12

=====

Material: Pr2Te2O7
Method: DFT, GGA-PBE
State: optimized geometry

a = 10.9251 Å, b = 10.9251 Å, c = 10.9251 Å
α = 90.00°, β = 90.00°, γ = 90.00°
Space group Fd-3m (No. 227, origin choice 2)
Asymmetric unit:
Pr  0.0000  0.0000  0.0000
Te  0.0000  0.0000  0.5000
O  0.0922  0.3750  0.8750
O  0.1250  0.1250  0.1250

Calculated values
- ρ (g/cm3) = 6.612
- magnetization (μB per atom) = 0.000
- uncorrected energy (eV/atom) = -6.63

=====

Material: ScNi2Hg
Method: DFT, GGA-PBE
State: optimized geometry

a = 6.3073 Å, b = 6.3073 Å, c = 6.3073 Å
α = 90.00°, β = 90.00°, γ = 90.00°
Space group F-43m (No. 216)
Asymmetric unit:
Sc  0.0000  0.0000  0.0000
Ni  0.0000  0.0000  0.5000
Ni  0.2500  0.2500  0.2500
Hg  0.2500  0.2500  0.7500

Calculated values
- ρ (g/cm3) = 9.607
- magnetization (μB per atom) = 0.000
- energy of formation from the pure elements (kJ/mol of formula units) = -48

=====

Material: Sr2HoSbO6
Method: DFT, GGA-PBE
State: optimized geometry

a = 5.8102 Å, b = 5.8476 Å, c = 10.0589 Å
α = 90.00°, β = 125.06°, γ = 90.00°
Space group P2_1/c (No. 14)
Asymmetric unit:
Sr  0.2421  0.0320  0.2494
Ho  0.5000  0.0000  0.0000
Sb  0.0000  0.0000  0.5000
O  0.1571  0.2255  0.9585
O  0.2333  0.7018  0.9602
O  0.3138  0.0194  0.7367

Calculated values
- ρ (g/cm3) = 6.624
- magnetization (μB per atom) = 0.000
- uncorrected energy (eV/atom) = -6.88

=====

Material: CdBiO2F
Method: DFT, GGA-PBE
State: optimized geometry

a = 5.2842 Å, b = 4.1412 Å, c = 7.3954 Å
α = 90.00°, β = 98.30°, γ = 90.00°
Space group P2_1/m (No. 11)
Asymmetric unit:
Cd  0.1825  0.2500  0.3991
Bi  0.2243  0.2500  0.8953
O  0.0219  0.7500  0.3544
O  0.0541  0.7500  0.9095
F  0.4481  0.7500  0.6978

Calculated values
- ρ (g/cm3) = 7.723
- uncorrected energy (eV/atom) = -4.83

=====

Material: Ta2Co
Method: DFT, GGA-PBE
State: optimized geometry

a = 9.5985 Å, b = 9.5985 Å, c = 5.1726 Å
α = 90.00°, β = 90.00°, γ = 90.00°
Space group P4_2/mnm (No. 136)
Asymmetric unit:
Ta  0.0616  0.2768  0.0000
Ta  0.1071  0.1071  0.5000
Ta  0.1807  0.8193  0.2524
Co  0.0000  0.0000  0.0000
Co  0.0374  0.3612  0.5000

Calculated values
- ρ (g/cm3) = 14.664
- magnetization (μB per atom) = 0.001
- energy of formation from the pure elements (kJ/mol of formula units) = 1

=====

Material: HoTm2Sn3PdPt2
Method: DFT, GGA-PBE
State: optimized geometry

a = 3.9787 Å, b = 12.9929 Å, c = 7.4957 Å
α = 90.00°, β = 90.00°, γ = 90.00°
Space group Amm2 (No. 38)
Asymmetric unit:
Ho  0.0000  0.0000  0.0000
Tm  0.0000  0.2038  0.6114
Sn  0.5000  0.0000  0.6658
Sn  0.5000  0.1292  0.2785
Pd  0.0000  0.0000  0.4078
Pt  0.5000  0.1668  0.9075

Calculated values
- ρ (g/cm3) = 11.618
- magnetization (μB per atom) = 0.000
- uncorrected energy (eV/atom) = -5.80

=====

Material: DyCdInTe3
Method: DFT, GGA-PBE
State: optimized geometry

a = 4.4240 Å, b = 15.3111 Å, c = 11.5873 Å
α = 90.00°, β = 90.00°, γ = 90.00°
Space group Cmcm (No. 63)
Asymmetric unit:
Dy  0.0000  0.0000  0.0000
Cd  0.0000  0.4644  0.2500
In  0.0000  0.2404  0.7500
Te  0.0000  0.0835  0.2500
Te  0.0000  0.3610  0.0492

Calculated values
- ρ (g/cm3) = 6.538
- ΔE to the lowest computed polymorph (meV per atom) = 0.8
- magnetization (μB per atom) = 0.000

=====

Material: Cu5Ag4
Method: DFT, GGA-PBE
State: optimized geometry

a = 10.7860 Å, b = 2.8484 Å, c = 8.8962 Å
α = 90.00°, β = 105.97°, γ = 90.00°
Space group C2/m (No. 12)
Asymmetric unit:
Cu  0.0000  0.0000  0.0000
Cu  0.1654  0.5000  0.9010
Cu  0.1697  0.5000  0.1820
Ag  0.0176  0.0000  0.3171
Ag  0.1764  0.5000  0.5851

Calculated values
- ρ (g/cm3) = 9.469
- ΔE to the lowest computed polymorph (meV per atom) = 27.1
- energy of formation from the pure elements (kJ/mol of formula units) = 59

=====

Material: NiGePd2
Method: DFT, GGA-PBE
State: optimized geometry

a = 6.0937 Å, b = 6.0937 Å, c = 6.0937 Å
α = 90.00°, β = 90.00°, γ = 90.00°
Space group F-43m (No. 216)
Asymmetric unit:
Ni  0.0000  0.0000  0.0000
Ge  0.2500  0.2500  0.7500
Pd  0.0000  0.0000  0.5000
Pd  0.2500  0.2500  0.2500

Calculated values
- ρ (g/cm3) = 10.103
- magnetization (μB per atom) = 0.005
- uncorrected energy (eV/atom) = -5.35

=====

Material: NdBNO
Method: DFT, GGA-PBE
State: optimized geometry

a = 4.9619 Å, b = 3.6426 Å, c = 5.2243 Å
α = 90.00°, β = 90.00°, γ = 90.00°
Space group Pmma (No. 51)
Asymmetric unit:
Nd  0.2500  0.0000  0.2391
B  0.2500  0.5000  0.6475
N  0.0000  0.5000  0.5000
O  0.2500  0.0000  0.7950

Calculated values
- ρ (g/cm3) = 6.509
- ΔE to the lowest computed polymorph (meV per atom) = 199.8
- magnetization (μB per atom) = 0.001

=====

Material: NaGe2Pt4
Method: DFT, GGA-PBE
State: optimized geometry

a = 7.8369 Å, b = 7.8369 Å, c = 3.9872 Å
α = 90.00°, β = 90.00°, γ = 90.00°
Space group P4_2/mnm (No. 136)
Asymmetric unit:
Na  0.0000  0.0000  0.0000
Ge  0.2292  0.2292  0.5000
Pt  0.0790  0.6688  0.5000

Calculated values
- ρ (g/cm3) = 12.865
- magnetization (μB per atom) = 0.000
- uncorrected energy (eV/atom) = -5.43